1 | Below is crystalline Nd5Sm3Dy4 at its relaxed geometry, with properties calculated at the PBE level.

Results
The calculation puts the density of states at the Fermi level at 1.60 states/eV/atom.

Structure (CIF):
```
data_Nd5Sm3Dy4
_chemical_formula_sum 'Nd10 Sm6 Dy8'
_cell_length_a 16.318
_cell_length_b 5.999
_cell_length_c 9.367
_cell_angle_alpha 90.00
_cell_angle_beta 116.26
_cell_angle_gamma 90.00
_space_group_name_H-M_alt 'C 1 2/m 1'
_space_group_IT_number 12
_space_group_name_Hall '-C 2y'
loop_
_atom_site_label
_atom_site_type_symbol
_atom_site_fract_x
_atom_site_fract_y
_atom_site_fract_z
Nd1 Nd 0.000 0.000 0.000
Nd2 Nd 0.076 0.500 0.700
Nd3 Nd 0.174 0.500 0.386
Sm1 Sm 0.000 0.500 0.000
Sm2 Sm 0.208 0.000 0.228
Dy1 Dy 0.081 0.000 0.441
Dy2 Dy 0.214 0.000 0.878
```

=====

2 | Below is crystalline Nd5Sm3Dy4 at its relaxed geometry, with properties calculated at the PBE level.

Results
The calculation puts the density of states at the Fermi level at 1.32 states/eV/atom.

Structure (CIF):
```
data_Nd5Sm3Dy4
_chemical_formula_sum 'Nd5 Sm3 Dy4'
_cell_length_a 6.274
_cell_length_b 7.237
_cell_length_c 8.871
_cell_angle_alpha 90.06
_cell_angle_beta 90.05
_cell_angle_gamma 90.03
_space_group_name_H-M_alt 'P -1'
_space_group_IT_number 2
_space_group_name_Hall '-P 1'
loop_
_atom_site_label
_atom_site_type_symbol
_atom_site_fract_x
_atom_site_fract_y
_atom_site_fract_z
Nd1 Nd 0.000 0.000 0.000
Nd2 Nd 0.332 0.500 0.335
Nd3 Nd 0.499 0.752 0.000
Sm1 Sm 0.000 0.500 0.000
Sm2 Sm 0.166 0.248 0.665
Dy1 Dy 0.167 0.752 0.665
Dy2 Dy 0.334 0.000 0.336
```

=====

Calculated relative energies: 1 201; 2 0, given in meV per atom

=====

1 | Below is crystalline Nd4Sm2Dy5 at its relaxed geometry, with properties calculated at the PBE level.

Results
The calculation puts the density of states at the Fermi level at 1.50 states/eV/atom.

Structure (CIF):
```
data_Nd4Sm2Dy5
_chemical_formula_sum 'Nd8 Sm4 Dy10'
_cell_length_a 19.323
_cell_length_b 5.713
_cell_length_c 6.670
_cell_angle_alpha 90.00
_cell_angle_beta 90.98
_cell_angle_gamma 90.00
_space_group_name_H-M_alt 'C 1 2/m 1'
_space_group_IT_number 12
_space_group_name_Hall '-C 2y'
loop_
_atom_site_label
_atom_site_type_symbol
_atom_site_fract_x
_atom_site_fract_y
_atom_site_fract_z
Nd1 Nd 0.021 0.000 0.285
Nd2 Nd 0.195 0.500 0.077
Sm1 Sm 0.098 0.500 0.553
Dy1 Dy 0.000 0.500 0.000
Dy2 Dy 0.131 0.000 0.893
Dy3 Dy 0.209 0.000 0.401
```

=====

2 | Below is crystalline Nd4Sm2Dy5 at its relaxed geometry, with properties calculated at the PBE level.

Results
The calculation puts the density of states at the Fermi level at 1.45 states/eV/atom.

Structure (CIF):
```
data_Nd4Sm2Dy5
_chemical_formula_sum 'Nd8 Sm4 Dy10'
_cell_length_a 3.525
_cell_length_b 9.277
_cell_length_c 23.154
_cell_angle_alpha 90.00
_cell_angle_beta 90.00
_cell_angle_gamma 90.00
_space_group_name_H-M_alt 'I m m m'
_space_group_IT_number 71
_space_group_name_Hall '-I 2 2'
loop_
_atom_site_label
_atom_site_type_symbol
_atom_site_fract_x
_atom_site_fract_y
_atom_site_fract_z
Nd1 Nd 0.000 0.000 0.096
Nd2 Nd 0.000 0.296 0.500
Sm1 Sm 0.000 0.000 0.231
Dy1 Dy 0.000 0.197 0.354
Dy2 Dy 0.000 0.500 0.000
```

=====

Calculated relative energies: 1 0; 2 150, given in meV per atom

=====

1 | Below is crystalline Nd2Sm7Dy3 at its relaxed geometry, with properties calculated at the PBE level.

Results
The calculation puts the density of states at the Fermi level at 1.50 states/eV/atom.

Structure (CIF):
```
data_Nd2Sm7Dy3
_chemical_formula_sum 'Nd2 Sm7 Dy3'
_cell_length_a 6.436
_cell_length_b 3.565
_cell_length_c 17.682
_cell_angle_alpha 90.00
_cell_angle_beta 96.06
_cell_angle_gamma 90.00
_space_group_name_H-M_alt 'P 1 2/m 1'
_space_group_IT_number 10
_space_group_name_Hall '-P 2y'
loop_
_atom_site_label
_atom_site_type_symbol
_atom_site_fract_x
_atom_site_fract_y
_atom_site_fract_z
Nd1 Nd 0.059 0.000 0.171
Sm1 Sm 0.000 0.500 0.500
Sm2 Sm 0.227 0.000 0.668
Sm3 Sm 0.257 0.000 0.997
Sm4 Sm 0.277 0.500 0.336
Dy1 Dy 0.452 0.500 0.841
Dy2 Dy 0.500 0.000 0.500
```

=====

2 | Below is crystalline Nd2Sm7Dy3 at its relaxed geometry, with properties calculated at the PBE level.

Results
The calculation puts the density of states at the Fermi level at 1.57 states/eV/atom.

Structure (CIF):
```
data_Nd2Sm7Dy3
_chemical_formula_sum 'Nd4 Sm14 Dy6'
_cell_length_a 5.793
_cell_length_b 38.368
_cell_length_c 3.647
_cell_angle_alpha 90.00
_cell_angle_beta 90.00
_cell_angle_gamma 90.00
_space_group_name_H-M_alt 'C m m m'
_space_group_IT_number 65
_space_group_name_Hall '-C 2 2'
loop_
_atom_site_label
_atom_site_type_symbol
_atom_site_fract_x
_atom_site_fract_y
_atom_site_fract_z
Nd1 Nd 0.000 0.148 0.000
Sm1 Sm 0.000 0.000 0.000
Sm2 Sm 0.000 0.071 0.500
Sm3 Sm 0.000 0.231 0.000
Sm4 Sm 0.000 0.410 0.000
Dy1 Dy 0.000 0.315 0.500
Dy2 Dy 0.000 0.500 0.500
```

=====

Calculated relative energies: 1 0; 2 42, given in meV per atom

=====

1 | Below is crystalline Nd8SmDy2 at its relaxed geometry, with properties calculated at the PBE level.

Results
The calculation puts the density of states at the Fermi level at 1.65 states/eV/atom.

Structure (CIF):
```
data_Nd8SmDy2
_chemical_formula_sum 'Nd16 Sm2 Dy4'
_cell_length_a 16.984
_cell_length_b 6.821
_cell_length_c 6.744
_cell_angle_alpha 90.00
_cell_angle_beta 100.03
_cell_angle_gamma 90.00
_space_group_name_H-M_alt 'C 1 2/m 1'
_space_group_IT_number 12
_space_group_name_Hall '-C 2y'
loop_
_atom_site_label
_atom_site_type_symbol
_atom_site_fract_x
_atom_site_fract_y
_atom_site_fract_z
Nd1 Nd 0.088 0.238 0.408
Nd2 Nd 0.094 0.000 0.914
Nd3 Nd 0.245 0.500 0.319
Sm1 Sm 0.000 0.500 0.000
Dy1 Dy 0.199 0.500 0.808
```

=====

2 | Below is crystalline Nd8SmDy2 at its relaxed geometry, with properties calculated at the PBE level.

Results
The calculation puts the density of states at the Fermi level at 1.46 states/eV/atom.

Structure (CIF):
```
data_Nd8SmDy2
_chemical_formula_sum 'Nd16 Sm2 Dy4'
_cell_length_a 14.335
_cell_length_b 6.824
_cell_length_c 8.665
_cell_angle_alpha 90.00
_cell_angle_beta 113.97
_cell_angle_gamma 90.00
_space_group_name_H-M_alt 'C 1 2/m 1'
_space_group_IT_number 12
_space_group_name_Hall '-C 2y'
loop_
_atom_site_label
_atom_site_type_symbol
_atom_site_fract_x
_atom_site_fract_y
_atom_site_fract_z
Nd1 Nd 0.091 0.240 0.382
Nd2 Nd 0.109 0.000 0.993
Nd3 Nd 0.239 0.000 0.772
Sm1 Sm 0.000 0.500 0.000
Dy1 Dy 0.147 0.500 0.756
```

=====

Calculated relative energies: 1 0; 2 41, given in meV per atom

=====

1 | Below is crystalline Nd5Sm2Dy12 at its relaxed geometry, with properties calculated at the PBE level.

Results
The calculation puts the density of states at the Fermi level at 1.38 states/eV/atom.

Structure (CIF):
```
data_Nd5Sm2Dy12
_chemical_formula_sum 'Nd5 Sm2 Dy12'
_cell_length_a 6.209
_cell_length_b 9.492
_cell_length_c 11.331
_cell_angle_alpha 90.04
_cell_angle_beta 100.59
_cell_angle_gamma 108.92
_space_group_name_H-M_alt 'P -1'
_space_group_IT_number 2
_space_group_name_Hall '-P 1'
loop_
_atom_site_label
_atom_site_type_symbol
_atom_site_fract_x
_atom_site_fract_y
_atom_site_fract_z
Nd1 Nd 0.000 0.000 0.000
Nd2 Nd 0.263 0.842 0.527
Nd3 Nd 0.474 0.316 0.947
Sm1 Sm 0.211 0.474 0.421
Dy1 Dy 0.052 0.368 0.106
Dy2 Dy 0.105 0.736 0.211
Dy3 Dy 0.157 0.106 0.315
Dy4 Dy 0.315 0.210 0.632
Dy5 Dy 0.369 0.579 0.737
Dy6 Dy 0.421 0.948 0.841
```

=====

2 | Below is crystalline Nd5Sm2Dy12 at its relaxed geometry, with properties calculated at the PBE level.

Results
The calculation puts the density of states at the Fermi level at 1.43 states/eV/atom.

Structure (CIF):
```
data_Nd5Sm2Dy12
_chemical_formula_sum 'Nd10 Sm4 Dy24'
_cell_length_a 18.200
_cell_length_b 8.226
_cell_length_c 9.046
_cell_angle_alpha 90.00
_cell_angle_beta 109.12
_cell_angle_gamma 90.00
_space_group_name_H-M_alt 'C 1 2/m 1'
_space_group_IT_number 12
_space_group_name_Hall '-C 2y'
loop_
_atom_site_label
_atom_site_type_symbol
_atom_site_fract_x
_atom_site_fract_y
_atom_site_fract_z
Nd1 Nd 0.000 0.000 0.000
Nd2 Nd 0.199 0.500 0.691
Nd3 Nd 0.244 0.000 0.720
Sm1 Sm 0.000 0.325 0.500
Dy1 Dy 0.013 0.500 0.178
Dy2 Dy 0.051 0.000 0.674
Dy3 Dy 0.138 0.201 0.358
Dy4 Dy 0.153 0.234 0.971
```

=====

Calculated relative energies: 1 0; 2 202, given in meV per atom